# 1
First-principles (PBE) data for K2YSi after structural relaxation, as listed in the Alexandria database.

Unit cell a=3.7535 b=5.9272 c=6.1853 alpha=90.00 beta=90.00 gamma=90.00
Atoms (fractional coordinates):
K (0.0000, 0.0000, 0.2312)
K (0.0000, 0.0000, 0.7688)
Y (0.5000, 0.5000, 0.5000)
Si (0.5000, 0.5000, 0.0000)

Its total energy is -3.0195 eV per atom. The formation energy (no corrections) is 0.50 eV/atom. The calculation puts the density of states at the Fermi level at 2.7 states/eV/cell.


# 2
First-principles (PBE) data for NiPRh2 after structural relaxation, as listed in the Alexandria database.

Unit cell a=4.2039 b=4.2039 c=4.2039 alpha=60.00 beta=60.00 gamma=60.00
Atoms (fractional coordinates):
Ni (0.0000, 0.0000, 0.0000)
P (0.7500, 0.7500, 0.7500)
Rh (0.2500, 0.2500, 0.2500)
Rh (0.5000, 0.5000, 0.5000)

For the energy above the most stable polymorph in this dataset, the calculation gives 0.352 eV per atom. Its total energy is -6.4163 eV per atom. The calculation puts the density of states at the Fermi level at 6.0 states/eV/cell. The value obtained for the energy of formation from the pure elements is 0.06 eV/atom.